[1]
DFT (GGA-PBE) results for an optimized crystal structure of GeP2Au.

abc: 3.569 3.569 7.690
angles: 76.58 76.58 60.00
Sites, in units of the cell vectors:
P1 0.896 0.896 0.313
P2 0.104 0.104 0.687
Au1 0.000 0.000 0.000
Ge1 0.500 0.500 0.500

Values from the calculation:
Energy relative to the elements (eV per atom): 0.216
Uncorrected energy (Ry/atom): -0.3280


[2]
DFT (GGA-PBE) results for an optimized crystal structure of Tb2DyPu.

abc: 5.590 5.590 5.590
angles: 60.00 60.00 60.00
Sites, in units of the cell vectors:
Dy1 0.000 0.000 0.000
Tb1 0.750 0.750 0.750
Tb2 0.250 0.250 0.250
Pu1 0.500 0.500 0.500

Values from the calculation:
Energy relative to the elements (eV per atom): 0.200
Uncorrected energy (Ry/atom): -0.5034
Energy relative to the lowest polymorph listed for this composition (meV per atom): 102


[3]
DFT (GGA-PBE) results for an optimized crystal structure of BaPtBr3.

abc: 5.313 5.313 5.313
angles: 90.00 90.00 90.00
Sites, in units of the cell vectors:
Br1 0.000 0.500 0.000
Br2 0.000 0.000 0.500
Br3 0.500 0.000 0.000
Pt1 0.000 0.000 0.000
Ba1 0.500 0.500 0.500

Values from the calculation:
Uncorrected energy (Ry/atom): -0.2651
E_form (uncorrected) (meV per atom): -1010
Energy relative to the lowest polymorph listed for this composition (meV per atom): 0


[4]
DFT (GGA-PBE) results for an optimized crystal structure of K2CuPdBr6.

abc: 7.414 7.414 7.372
angles: 59.74 59.74 89.98
Sites, in units of the cell vectors:
K1 0.750 0.250 0.500
K2 0.250 0.750 0.500
Cu1 0.000 0.000 0.000
Br1 0.253 0.253 0.001
Br2 0.746 0.253 0.000
Br3 0.242 0.242 0.516
Br4 0.758 0.758 0.484
Br5 0.254 0.747 0.000
Br6 0.747 0.747 0.999
Pd1 0.500 0.500 0.000

Values from the calculation:
Uncorrected energy (Ry/atom): -0.2215
E_form (uncorrected) (meV per atom): -862


[5]
DFT (GGA-PBE) results for an optimized crystal structure of PICl2F.

abc: 5.704 5.704 3.614
angles: 90.00 90.00 90.00
Sites, in units of the cell vectors:
F1 0.000 0.000 0.000
I1 0.500 0.500 0.500
P1 0.000 0.000 0.500
Cl1 0.000 0.500 0.000
Cl2 0.500 0.000 0.000

Values from the calculation:
Uncorrected energy (Ry/atom): -0.1668
E_form (uncorrected) (meV per atom): 236
Energy relative to the lowest polymorph listed for this composition (meV per atom): 0


[6]
DFT (GGA-PBE) results for an optimized crystal structure of ZrTl2FeRe.

abc: 5.313 4.970 5.313
angles: 90.00 90.00 90.00
Sites, in units of the cell vectors:
Fe1 0.500 0.500 0.500
Tl1 0.000 0.000 0.500
Tl2 0.500 0.000 0.000
Re1 0.000 0.000 0.000
Zr1 0.000 0.500 0.000

Values from the calculation:
Energy relative to the elements (eV per atom): 1.187
Uncorrected energy (Ry/atom): -0.4154


[7]
DFT (GGA-PBE) results for an optimized crystal structure of TlAg2Ru.

abc: 5.245 5.245 2.962
angles: 90.00 90.00 114.99
Sites, in units of the cell vectors:
Ag1 0.000 0.000 0.000
Ag2 0.500 0.500 0.000
Ru1 0.500 0.000 0.500
Tl1 0.000 0.500 0.500

Values from the calculation:
Energy relative to the elements (eV per atom): 0.488
Uncorrected energy (Ry/atom): -0.2828
Energy relative to the lowest polymorph listed for this composition (meV per atom): 95


[8]
DFT (GGA-PBE) results for an optimized crystal structure of KTbEu2.

abc: 3.824 3.824 12.188
angles: 90.00 90.00 90.00
Sites, in units of the cell vectors:
Eu1 0.000 0.000 0.209
Eu2 0.000 0.000 0.791
Tb1 0.500 0.500 0.000
K1 0.500 0.500 0.500

Values from the calculation:
Energy relative to the elements (eV per atom): 0.155
Uncorrected energy (Ry/atom): -0.4714


[9]
DFT (GGA-PBE) results for an optimized crystal structure of V2ZnAs2.

abc: 6.856 6.856 3.237
angles: 90.00 90.00 90.00
Sites, in units of the cell vectors:
V1 0.141 0.359 0.000
V2 0.859 0.641 0.000
V3 0.359 0.859 0.000
V4 0.641 0.141 0.000
Zn1 0.000 0.000 0.000
Zn2 0.500 0.500 0.000
As1 0.348 0.152 0.500
As2 0.652 0.848 0.500
As3 0.152 0.652 0.500
As4 0.848 0.348 0.500

Values from the calculation:
Energy relative to the elements (eV per atom): -0.230
Uncorrected energy (Ry/atom): -0.4404
Energy relative to the lowest polymorph listed for this composition (meV per atom): 0


[10]
DFT (GGA-PBE) results for an optimized crystal structure of Y4Al2Zn.

abc: 5.081 5.081 8.758
angles: 73.14 73.14 60.00
Sites, in units of the cell vectors:
Zn1 0.000 0.000 0.000
Y1 0.127 0.127 0.619
Y2 0.378 0.378 0.866
Y3 0.873 0.873 0.381
Y4 0.622 0.622 0.134
Al1 0.749 0.749 0.754
Al2 0.251 0.251 0.246

Values from the calculation:
Energy relative to the elements (eV per atom): -0.269
Uncorrected energy (Ry/atom): -0.3832


[11]
DFT (GGA-PBE) results for an optimized crystal structure of Cs12Ga3Cl5.

abc: 18.626 18.626 18.626
angles: 109.47 109.47 109.47
Sites, in units of the cell vectors:
Cs1 0.460 0.786 0.870
Cs2 0.675 0.460 0.591
Cs3 0.675 0.214 0.584
Cs4 0.175 0.084 0.714
Cs5 0.916 0.825 0.786
Cs6 0.825 0.916 0.286
Cs7 0.714 0.584 0.175
Cs8 0.540 0.214 0.130
Cs9 0.286 0.416 0.825
Cs10 0.591 0.960 0.675
Cs11 0.630 0.591 0.916
Cs12 0.416 0.130 0.591
Cs13 0.370 0.409 0.084
Cs14 0.091 0.175 0.460
Cs15 0.416 0.286 0.325
Cs16 0.870 0.286 0.460
Cs17 0.960 0.591 0.175
Cs18 0.630 0.040 0.214
Cs19 0.040 0.409 0.825
Cs20 0.130 0.416 0.091
Cs21 0.584 0.714 0.675
Cs22 0.040 0.630 0.714
Cs23 0.409 0.040 0.325
Cs24 0.325 0.786 0.416
Cs25 0.130 0.714 0.540
Cs26 0.714 0.130 0.040
Cs27 0.409 0.370 0.584
Cs28 0.916 0.091 0.630
Cs29 0.084 0.909 0.370
Cs30 0.909 0.825 0.540
Cs31 0.870 0.584 0.909
Cs32 0.460 0.675 0.091
Cs33 0.370 0.960 0.786
Cs34 0.286 0.870 0.960
Cs35 0.175 0.091 0.960
Cs36 0.584 0.870 0.409
Cs37 0.825 0.909 0.040
Cs38 0.091 0.916 0.130
Cs39 0.786 0.325 0.916
Cs40 0.591 0.630 0.416
Cs41 0.325 0.540 0.409
Cs42 0.084 0.175 0.214
Cs43 0.909 0.084 0.870
Cs44 0.214 0.540 0.630
Cs45 0.214 0.675 0.084
Cs46 0.786 0.460 0.370
Cs47 0.540 0.325 0.909
Cs48 0.960 0.370 0.286
Cl1 0.875 0.625 0.750
Cl2 0.250 0.375 0.625
Cl3 0.875 0.250 0.625
Cl4 0.000 0.500 0.000
Cl5 0.125 0.750 0.375
Cl6 0.625 0.875 0.250
Cl7 0.500 0.500 0.000
Cl8 0.000 0.000 0.500
Cl9 0.250 0.875 0.125
Cl10 0.375 0.250 0.125
Cl11 0.375 0.125 0.750
Cl12 0.750 0.125 0.875
Cl13 0.500 0.000 0.500
Cl14 0.125 0.375 0.250
Cl15 0.625 0.750 0.875
Cl16 0.500 0.500 0.500
Cl17 0.750 0.625 0.375
Cl18 0.000 0.500 0.500
Cl19 0.000 0.000 0.000
Cl20 0.500 0.000 0.000
Ga1 0.875 0.125 0.250
Ga2 0.375 0.750 0.625
Ga3 0.875 0.750 0.125
Ga4 0.750 0.375 0.125
Ga5 0.625 0.250 0.375
Ga6 0.125 0.875 0.750
Ga7 0.250 0.125 0.375
Ga8 0.250 0.625 0.875
Ga9 0.125 0.250 0.875
Ga10 0.625 0.375 0.750
Ga11 0.750 0.875 0.625
Ga12 0.375 0.625 0.250

Values from the calculation:
Uncorrected energy (Ry/atom): -0.1661
E_form (uncorrected) (meV per atom): -832


[12]
DFT (GGA-PBE) results for an optimized crystal structure of Ti3NbMo2.

abc: 3.079 7.992 9.471
angles: 66.65 80.64 78.89
Sites, in units of the cell vectors:
Ti1 0.415 0.166 0.004
Ti2 0.254 0.206 0.287
Ti3 0.055 0.133 0.757
Ti4 0.585 0.834 0.996
Ti5 0.746 0.794 0.713
Ti6 0.945 0.867 0.243
Mo1 0.340 0.846 0.473
Mo2 0.179 0.546 0.097
Mo3 0.660 0.154 0.527
Mo4 0.821 0.454 0.903
Nb1 0.431 0.488 0.650
Nb2 0.569 0.512 0.350

Values from the calculation:
Energy relative to the elements (eV per atom): 0.213
Uncorrected energy (Ry/atom): -0.6632
Energy relative to the lowest polymorph listed for this composition (meV per atom): 139


[13]
DFT (GGA-PBE) results for an optimized crystal structure of K3Tb3TcO8.

abc: 6.813 6.813 7.418
angles: 117.34 90.00 120.00
Sites, in units of the cell vectors:
O1 0.247 0.037 0.326
O2 0.753 0.963 0.674
O3 0.211 0.421 0.674
O4 0.211 0.963 0.674
O5 0.789 0.037 0.326
O6 0.789 0.579 0.326
O7 0.272 0.544 0.316
O8 0.728 0.456 0.684
K1 0.500 0.500 0.000
K2 0.000 0.500 0.000
K3 0.000 0.000 0.000
Tc1 0.000 0.000 0.500
Tb1 0.500 0.000 0.500
Tb2 0.000 0.500 0.500
Tb3 0.500 0.500 0.500

Values from the calculation:
Uncorrected energy (Ry/atom): -0.5113
E_form (uncorrected) (meV per atom): -2475


[14]
DFT (GGA-PBE) results for an optimized crystal structure of Tl2Bi2Se.

abc: 7.903 7.903 5.269
angles: 90.00 90.00 90.00
Sites, in units of the cell vectors:
Bi1 0.357 0.857 0.000
Bi2 0.143 0.357 0.000
Bi3 0.857 0.643 0.000
Bi4 0.643 0.143 0.000
Tl1 0.171 0.671 0.500
Tl2 0.329 0.171 0.500
Tl3 0.671 0.829 0.500
Tl4 0.829 0.329 0.500
Se1 0.500 0.500 0.000
Se2 0.000 0.000 0.000

Values from the calculation:
Uncorrected energy (Ry/atom): -0.2368
E_form (uncorrected) (meV per atom): -26
Energy relative to the lowest polymorph listed for this composition (meV per atom): 0


[15]
DFT (GGA-PBE) results for an optimized crystal structure of LaReF2.

abc: 4.588 4.588 8.592
angles: 74.51 74.51 90.00
Sites, in units of the cell vectors:
F1 0.875 0.793 0.750
F2 0.375 0.457 0.750
F3 0.207 0.625 0.250
F4 0.543 0.125 0.250
La1 0.500 0.500 0.000
La2 0.250 0.750 0.500
Re1 0.750 0.250 0.500
Re2 0.000 0.000 0.000

Values from the calculation:
Uncorrected energy (Ry/atom): -0.4644
E_form (uncorrected) (meV per atom): -1039
Energy relative to the lowest polymorph listed for this composition (meV per atom): 149